No. 1
# CdPAu (PBE, relaxed)
# ΔE_f   0.02 eV per atom
# Calculated volume   21.417 Å³/atom
data_CdPAu
_cell_length_a 4.8720
_cell_length_b 5.1722
_cell_length_c 5.8987
_cell_angle_alpha 107.58
_cell_angle_beta 106.35
_cell_angle_gamma 102.36
_space_group_name_H-M_alt 'P 1'
_space_group_IT_number 1
loop_
_space_group_symop_operation_xyz
'x,y,z'
loop_
_atom_site_label
_atom_site_type_symbol
_atom_site_fract_x
_atom_site_fract_y
_atom_site_fract_z
_atom_site_occupancy
Cd1 Cd 0.0000 0.0000 0.0000 1
Cd2 Cd 0.1967 0.5444 0.7053 1
P1 P 0.5143 0.0438 0.4997 1
P2 P 0.6913 0.4207 0.8782 1
Au1 Au 0.6287 0.2602 0.2131 1
Au2 Au 0.9747 0.9079 0.4781 1

***

No. 2
# Mg3C (PBE, relaxed)
# ΔE_f   0.58 eV per atom
# Offset from the most stable computed form   240 meV/atom
# Calculated volume   20.087 Å³/atom
data_Mg3C
_cell_length_a 7.8566
_cell_length_b 7.8566
_cell_length_c 3.0061
_cell_angle_alpha 90.00
_cell_angle_beta 90.00
_cell_angle_gamma 120.00
_space_group_name_H-M_alt 'P 63/m m c'
_space_group_IT_number 194
_space_group_name_Hall '-P 6c 2c'
loop_
_atom_site_label
_atom_site_type_symbol
_atom_site_fract_x
_atom_site_fract_y
_atom_site_fract_z
_atom_site_occupancy
Mg1 Mg 0.2094 0.4189 0.2500 1
C1 C 0.3333 0.6667 0.7500 1